1.
Pr2HfHg PBE optimized geometry; formation energy = -0.08 eV per atom
1.0
3.523 0.000 0.000
0.000 3.523 0.000
0.000 0.000 9.224
Pr Hf Hg
2 1 1
Cartesian
0.000 0.000 2.260
0.000 0.000 6.963
1.762 1.762 4.612
1.762 1.762 0.000



2.
Na2ZnGa2Pt5 PBE optimized geometry; formation energy = -0.47 eV per atom
1.0
9.557 0.000 0.000
0.000 9.557 0.000
0.000 0.000 3.677
Na Zn Ga Pt
4 2 4 10
Cartesian
1.640 3.138 0.000
3.138 7.917 0.000
6.418 1.640 0.000
7.917 6.418 0.000
0.000 0.000 0.000
4.778 4.778 0.000
1.246 6.025 0.000
3.532 1.246 0.000
6.025 8.310 0.000
8.310 3.532 0.000
0.000 4.778 1.839
0.623 7.655 1.839
1.902 0.623 1.839
2.876 5.401 1.839
4.155 2.876 1.839
4.778 0.000 1.839
5.401 6.680 1.839
6.680 4.155 1.839
7.655 8.934 1.839
8.934 1.902 1.839



3.
AgPCO2 PBE optimized geometry; uncorrected formation energy = 1.9737 eV/atom
1.0
3.859 0.000 0.000
0.000 3.859 0.000
0.000 0.000 5.140
Ag P C O
1 1 1 2
Cartesian
0.000 0.000 0.000
0.000 0.000 2.570
1.929 1.929 2.570
0.000 1.929 0.000
1.929 0.000 0.000



no.,DOS(E_F) (states/eV/f.u.)
1,4.56
2,2.72
3,4.85